## SrFeO3 (GGA+U)

Data for SrFeO3 after structural relaxation.

Values from the calculation:
Its space group is Pm-3m (221). The calculation puts the total energy at -6.358 eV/atom.

a = 3.913 Å, b = 3.913 Å, c = 3.913 Å
α = 90.00°, β = 90.00°, γ = 90.00°
Positions (direct):
Sr 0.000 0.000 0.000
Fe 0.500 0.500 0.500
O 0.000 0.500 0.500
O 0.500 0.000 0.500
O 0.500 0.500 0.000